## MnIrNO2 (PBE+U)

Data for a relaxed MnIrNO2 crystal.

Cell: 3.7280 3.7280 3.6875 Å, 90.00 90.00 90.00°
Closest atoms and distances in Å follow each position.
Fractional positions:
Ir 0.5000 0.5000 0.5000  8 O 2.62, 4 N 2.64
O 0.0000 0.5000 0.0000  2 Mn 1.86
O 0.5000 0.0000 0.0000  2 Mn 1.86
Mn 0.0000 0.0000 0.0000  2 N 1.84, 4 O 1.86
N 0.0000 0.0000 0.5000  2 Mn 1.84

- total energy (eV per formula unit) = -29.659
- magnetization (μB/f.u.) = 1.4
- N(E_F) (states/eV/cell) = 5.711